The following is a DFT calculation (PBE) of a relaxed YEr2OsO8 crystal. Values from VASP.

```
&SYSTEM
  ibrav = 0, nat = 12, ntyp = 4
/
ATOMIC_SPECIES
O 16.00 O.upf
Y 88.91 Y.upf
Er 167.26 Er.upf
Os 190.23 Os.upf
CELL_PARAMETERS angstrom
5.009 -0.030 -0.003
-0.002 5.005 -0.006
0.004 0.007 6.747
ATOMIC_POSITIONS angstrom
O 0.923 4.073 1.407
O 1.552 1.540 3.371
O 3.459 3.442 3.367
O 4.085 0.905 1.409
O 1.336 1.324 -0.002
O 4.088 0.909 5.331
O 0.926 4.077 5.329
O 3.675 3.658 6.740
Y 0.002 0.004 3.373
Er 2.506 2.493 5.030
Er 2.505 2.489 1.708
Os 0.000 0.000 0.000
```

Output
Formation energy without anion corrections = -2.55 eV per atom